No. 1
Here is a geometry-optimized K2RbSe structure from the Alexandria database. Energies are from PBE-GGA.

abc: 5.3294 5.3294 27.1924
angles: 90.00 90.00 120.00
Closest atoms and distances in Å follow each position.
Space group R3m (No. 160, hexagonal axes)
Symmetry-distinct sites (fractional):
K (0.0000, 0.0000, 0.0000) (multiplicity 3)  3 Se 3.20
K (0.0000, 0.0000, 0.2493) (multiplicity 3)  3 Se 3.39
Rb (0.0000, 0.0000, 0.7675) (multiplicity 3)  1 Se 3.61
Se (0.0000, 0.0000, 0.6348) (multiplicity 3)  6 K 3.20-3.39

Values from the calculation:
Total DFT energy (no corrections): -2.39 eV/atom
Theoretical density: 1.81 g cm⁻³
Formation energy from raw total energies: -0.73 eV/atom
Total moment: 0.0 μB/cell
DOS(E_F): 3.9 states/eV per cell

No. 2
Here is a geometry-optimized Sr4TlHg structure from the Alexandria database. Energies are from PBE-GGA.

abc: 5.6834 5.6834 27.7912
angles: 90.00 90.00 120.00
Closest atoms and distances in Å follow each position.
Space group R-3m (No. 166, hexagonal axes)
Symmetry-distinct sites (fractional):
Sr (0.0000, 0.0000, 0.1241) (multiplicity 6)  1 Tl 3.45, 3 Hg 3.49
Sr (0.0000, 0.0000, 0.3742) (multiplicity 6)  3 Tl 3.47, 1 Hg 3.50
Tl (0.0000, 0.0000, 0.0000) (multiplicity 3)  8 Sr 3.45-3.47
Hg (0.0000, 0.0000, 0.5000) (multiplicity 3)  8 Sr 3.49-3.50

Values from the calculation:
Total DFT energy (no corrections): -1.81 eV/atom
Energy of formation: -0.24 eV/atom
Theoretical density: 4.84 g cm⁻³
ΔE to the lowest computed polymorph: 101 meV/atom
Total moment: 0.0 μB/cell
DOS(E_F): 27.5 states/eV per cell